# 1
Compound: SiWAu4
Source: Alexandria via LeMat-Bulk
Functional: PBE-GGA
Structure: optimized geometry

The space group is F-43m (No. 216) and the conventional cell measures 7.7042, 7.7042 and 7.7042 Å, with angles of 90.00, 90.00 and 90.00 degrees. The inequivalent atoms are Si at (0.0000, 0.0000, 0.0000), W at (0.2500, 0.2500, 0.7500) and Au at (0.1249, 0.1249, 0.3751).

The value obtained for the density of states at the Fermi level is 16.24 states/eV per cell. The value obtained for the density is 14.5 g/cm³. The value obtained for the formation energy without anion corrections is 5.24 eV/f.u.

# 2
Compound: SiWAu2
Source: Alexandria via LeMat-Bulk
Functional: PBE-GGA
Structure: optimized geometry

The space group is P2/m (No. 10) and the conventional cell measures 2.8756, 4.4565 and 5.3219 Å, with angles of 90.00, 105.05 and 90.00 degrees. The inequivalent atoms are Si at (0.0000, 0.0000, 0.0000), W at (0.5000, 0.0000, 0.5000) and Au at (0.1144, 0.5000, 0.7592).

The value obtained for the density of states at the Fermi level is 2.62 states/eV per cell. The value obtained for the density is 15.3 g/cm³. The value obtained for the formation energy without anion corrections is 1.53 eV/f.u.

# 3
Compound: Si2WAu
Source: Alexandria via LeMat-Bulk
Functional: PBE-GGA
Structure: optimized geometry

The space group is P4/mmm (No. 123) and the conventional cell measures 3.2264, 3.2264 and 5.8572 Å, with angles of 90.00, 90.00 and 90.00 degrees. The inequivalent atoms are Si at (0.0000, 0.0000, 0.2223), W at (0.5000, 0.5000, 0.0000) and Au at (0.5000, 0.5000, 0.5000).

The value obtained for the density of states at the Fermi level is 2.50 states/eV per cell. The value obtained for the density is 11.9 g/cm³. The value obtained for the formation energy without anion corrections is 0.56 eV/f.u.

# 4
Compound: SiW2Au
Source: Alexandria via LeMat-Bulk
Functional: PBE-GGA
Structure: optimized geometry

The space group is P4/mmm (No. 123) and the conventional cell measures 2.9855, 2.9855 and 6.9614 Å, with angles of 90.00, 90.00 and 90.00 degrees. The inequivalent atoms are Si at (0.0000, 0.0000, 0.0000), W at (0.5000, 0.5000, 0.2142) and Au at (0.0000, 0.0000, 0.5000).

The value obtained for the density of states at the Fermi level is 2.10 states/eV per cell. The value obtained for the density is 15.9 g/cm³. The value obtained for the formation energy without anion corrections is 0.85 eV/f.u.

# 5
Compound: SiWAu3
Source: Alexandria via LeMat-Bulk
Functional: PBE-GGA
Structure: optimized geometry

The space group is Pm-3m (No. 221) and the conventional cell measures 5.0421, 5.0421 and 5.0421 Å, with angles of 90.00, 90.00 and 90.00 degrees. The inequivalent atoms are Si at (0.0000, 0.0000, 0.0000), W at (0.5000, 0.5000, 0.5000) and Au at (0.0000, 0.5000, 0.5000).

The value obtained for the density of states at the Fermi level is 5.77 states/eV per cell. The value obtained for the density is 10.4 g/cm³. The value obtained for the formation energy without anion corrections is 7.45 eV/f.u.

# 6
Compound: SiWAu2
Source: Alexandria via LeMat-Bulk
Functional: PBE-GGA
Structure: optimized geometry

The space group is Pm (No. 6) and the conventional cell measures 2.8625, 3.9941 and 5.9134 Å, with angles of 90.00, 103.94 and 90.00 degrees. The inequivalent atoms are Si at (0.0000, 0.0000, 0.0000), W at (0.5759, 0.5000, 0.1557), Au at (0.2221, 0.0000, 0.4463) and Au at (0.8523, 0.5000, 0.7067).

The value obtained for the density of states at the Fermi level is 2.15 states/eV per cell. The value obtained for the density is 15.3 g/cm³. The value obtained for the formation energy without anion corrections is 0.78 eV/f.u.

# 7
Compound: SiW2Au
Source: Alexandria via LeMat-Bulk
Functional: PBE-GGA
Structure: optimized geometry

The space group is R-3m (No. 166, hexagonal axes) and the conventional cell measures 2.8352, 2.8352 and 27.2352 Å, with angles of 90.00, 90.00 and 120.00 degrees. The inequivalent atoms are Si at (0.0000, 0.0000, 0.0000), W at (0.0000, 0.0000, 0.2552) and Au at (0.0000, 0.0000, 0.5000).

The value obtained for the density of states at the Fermi level is 4.48 states/eV per cell. The value obtained for the density is 15.6 g/cm³. The value obtained for the formation energy without anion corrections is 1.19 eV/f.u.

# 8
Compound: SiWAu2
Source: Alexandria via LeMat-Bulk
Functional: PBE-GGA
Structure: optimized geometry

The space group is Immm (No. 71) and the conventional cell measures 2.8817, 4.5575 and 9.9349 Å, with angles of 90.00, 90.00 and 90.00 degrees. The inequivalent atoms are Si at (0.0000, 0.0000, 0.0000), W at (0.0000, 0.0000, 0.5000) and Au at (0.0000, 0.5000, 0.2805).

The value obtained for the density of states at the Fermi level is 5.67 states/eV per cell. The value obtained for the density is 15.4 g/cm³. The value obtained for the formation energy without anion corrections is 1.25 eV/f.u.

What did the fourth record say?
Compound: SiW2Au
Source: Alexandria via LeMat-Bulk
Functional: PBE-GGA
Structure: optimized geometry

The space group is P4/mmm (No. 123) and the conventional cell measures 2.9855, 2.9855 and 6.9614 Å, with angles of 90.00, 90.00 and 90.00 degrees. The inequivalent atoms are Si at (0.0000, 0.0000, 0.0000), W at (0.5000, 0.5000, 0.2142) and Au at (0.0000, 0.0000, 0.5000).

The value obtained for the density of states at the Fermi level is 2.10 states/eV per cell. The value obtained for the density is 15.9 g/cm³. The value obtained for the formation energy without anion corrections is 0.85 eV/f.u.